(1)
The following is a PBE calculation of an optimized crystal structure of SrCaTe2, from Alexandria via LeMat-Bulk.

Summary:
- crystal system = trigonal

abc: 5.0684 5.0684 27.3577
angles: 90.00 90.00 120.00
Space group R-3m (No. 166, hexagonal axes)
Asymmetric unit:
1 Sr 0.0000 0.0000 0.0000 (multiplicity 3)
2 Ca 0.0000 0.0000 0.5000 (multiplicity 3)
3 Te 0.0000 0.0000 0.3954 (multiplicity 6)

=====

(2)
The following is a PBE calculation of an optimized crystal structure of Ac5Hg2SN, from Alexandria via LeMat-Bulk.

Summary:
- crystal system = orthorhombic

abc: 4.323 19.526 14.218
angles: 90.00 90.00 90.00
Space group Cmc2_1 (No. 36)
Asymmetric unit:
1 Ac 0.000 0.001 0.000 (multiplicity 4)
2 Ac 0.000 0.148 0.225 (multiplicity 4)
3 Ac 0.000 0.179 0.593 (multiplicity 4)
4 Ac 0.000 0.205 0.892 (multiplicity 4)
5 Ac 0.000 0.460 0.236 (multiplicity 4)
6 Hg 0.000 0.370 0.546 (multiplicity 4)
7 Hg 0.000 0.382 0.907 (multiplicity 4)
8 S 0.000 0.303 0.242 (multiplicity 4)
9 N 0.000 0.056 0.649 (multiplicity 4)

=====

Number 1: magnetic moment 0.000 μB per atom, raw formation energy -1.0637 eV/atom. Number 2: magnetic moment 0.000 μB per atom, raw formation energy -0.8879 eV/atom.